(1)
{
  "formula": "ScCrCl4",
  "functional": "PBE",
  "state": "relaxed",
  "raw_formation_energy_ev_per_fu": 1.8,
  "spacegroup": "F-43m",
  "volume_a3_per_atom": 23.1,
  "lattice": [[0.000, 4.107, 4.107], [4.107, 0.000, 4.107], [4.107, 4.107, 0.000]],
  "species": ["Cr", "Cl", "Cl", "Cl", "Sc", "Cl"],
  "frac_coords": [[0.750, 0.750, 0.750], [0.375, 0.375, 0.375], [0.375, 0.875, 0.375], [0.875, 0.375, 0.375], [0.000, 0.000, 0.000], [0.375, 0.375, 0.875]]
}

***

(2)
{
  "formula": "Sc2CrCl",
  "functional": "PBE",
  "state": "relaxed",
  "raw_formation_energy_ev_per_fu": 1.9,
  "spacegroup": "F-43m",
  "volume_a3_per_atom": 20.6,
  "e_above_lowest_polymorph_kj_per_mol_atoms": 89.9,
  "lattice": [[-0.150, -4.880, -0.137], [0.071, -2.563, 4.157], [-4.010, -2.363, 1.481]],
  "species": ["Sc", "Sc", "Cl", "Cr"],
  "frac_coords": [[0.000, 0.000, 0.000], [0.750, 0.750, 0.750], [0.500, 0.500, 0.500], [0.250, 0.250, 0.250]]
}

***

(3)
{
  "formula": "ScCrCl2",
  "functional": "PBE",
  "state": "relaxed",
  "raw_formation_energy_ev_per_fu": -2.0,
  "spacegroup": "Pmmm",
  "volume_a3_per_atom": 19.7,
  "e_above_lowest_polymorph_kj_per_mol_atoms": 31.2,
  "lattice": [[-2.783, -0.652, 1.481], [-0.693, -4.786, -3.410], [2.022, -2.283, 2.793]],
  "species": ["Cl", "Cl", "Cr", "Sc"],
  "frac_coords": [[0.500, 0.500, 0.000], [0.000, 0.000, 0.000], [0.500, 0.000, 0.500], [0.000, 0.500, 0.500]]
}